1.
VASP calculation (PBE) on a relaxed NaScSe2O6 crystal.

## Properties
- Relative energy among the computed polymorphs: 0.083 eV per atom
- Energy relative to the elements, uncorrected: -1.643 eV/atom

Lattice parameters (Å, degrees): 5.3158 5.3158 17.5141 90.00 90.00 120.00
Space group R-3 (No. 148, hexagonal axes)
Asymmetric unit:
1 Na 0.0000 0.0000 0.0000 x3
2 Sc 0.0000 0.0000 0.5000 x3
3 Se 0.0000 0.0000 0.2759 x6
4 O 0.0173 0.3836 0.9042 x18

***

2.
VASP calculation (PBE) on a relaxed TlIn2GaCu crystal.

## Properties
- E_form: 112 meV per atom

Lattice parameters (Å, degrees): 5.236 5.236 4.686 90.00 90.00 90.00
Space group P4/mmm (No. 123)
Asymmetric unit:
1 Tl 0.000 0.000 0.000 x1
2 In 0.000 0.500 0.500 x2
3 Ga 0.500 0.500 0.000 x1
4 Cu 0.500 0.500 0.500 x1

***

3.
VASP calculation (PBE) on a relaxed CaSnHg2Se crystal.

## Properties
- Energy relative to the elements, uncorrected: 0.396 eV/atom

Lattice parameters (Å, degrees): 5.633 5.633 6.177 90.00 90.00 90.00
Space group P4/mmm (No. 123)
Asymmetric unit:
1 Ca 0.000 0.000 0.000 x1
2 Sn 0.000 0.000 0.500 x1
3 Hg 0.000 0.500 0.000 x2
4 Se 0.500 0.500 0.500 x1

***

4.
VASP calculation (PBE) on a relaxed Sc2Si7Ru12 crystal.

## Properties
- Energy relative to the elements, uncorrected: -0.547 eV/atom

Lattice parameters (Å, degrees): 9.5340 9.5340 3.9060 90.00 90.00 120.00
Space group P-6 (No. 174)
Asymmetric unit:
1 Sc 0.0000 0.0000 0.0000 x1
2 Sc 0.3333 0.6667 0.5000 x1
3 Si 0.0796 0.4550 0.0000 x3
4 Si 0.2632 0.2202 0.5000 x3
5 Si 0.6667 0.3333 0.0000 x1
6 Ru 0.0514 0.2856 0.5000 x3
7 Ru 0.0973 0.7072 0.0000 x3
8 Ru 0.3877 0.1763 0.0000 x3
9 Ru 0.5530 0.4293 0.5000 x3

***

5.
VASP calculation (PBE) on a relaxed HgN2Cl2 crystal.

## Properties
- Relative energy among the computed polymorphs: 2.094 eV per atom
- Energy relative to the elements, uncorrected: 1.758 eV/atom

Lattice parameters (Å, degrees): 7.872 9.367 3.807 90.00 90.00 90.00
Space group Cmmm (No. 65)
Asymmetric unit:
1 Hg 0.000 0.000 0.000 x2
2 N 0.000 0.296 0.000 x4
3 Cl 0.226 0.000 0.500 x4

***

6.
VASP calculation (PBE) on a relaxed Ba5W4 crystal.

## Properties
- E_form: 1011 meV per atom

Lattice parameters (Å, degrees): 11.501 11.501 4.592 90.00 90.00 90.00
Space group I4/mmm (No. 139)
Asymmetric unit:
1 Ba 0.000 0.000 0.000 x2
2 Ba 0.174 0.174 0.500 x8
3 W 0.000 0.398 0.000 x8

***

7.
VASP calculation (PBE) on a relaxed NdSmDy2Te6 crystal.

## Properties
- Energy relative to the elements, uncorrected: -1.370 eV/atom

Lattice parameters (Å, degrees): 7.8082 7.8082 21.2339 90.00 90.00 120.00
Space group R3 (No. 146, hexagonal axes)
Asymmetric unit:
1 Nd 0.0000 0.0000 0.0000 x3
2 Sm 0.0000 0.0000 0.4986 x3
3 Dy 0.0000 0.0000 0.3100 x3
4 Dy 0.0000 0.0000 0.8110 x3
5 Te 0.0115 0.3180 0.9016 x9
6 Te 0.0157 0.6501 0.0685 x9

***

8.
VASP calculation (PBE) on a relaxed HfCu2GeMo crystal.

## Properties
- E_form: 602 meV per atom

Lattice parameters (Å, degrees): 4.340 4.340 4.783 90.00 90.00 90.00
Space group P4/mmm (No. 123)
Asymmetric unit:
1 Hf 0.000 0.000 0.000 x1
2 Cu 0.000 0.500 0.500 x2
3 Ge 0.500 0.500 0.500 x1
4 Mo 0.500 0.500 0.000 x1

***

9.
VASP calculation (PBE) on a relaxed TlCdAg2I6 crystal.

## Properties
- Energy relative to the elements, uncorrected: -0.343 eV/atom

Lattice parameters (Å, degrees): 15.760 15.384 8.849 90.00 117.81 90.00
Space group C2/c (No. 15)
Asymmetric unit:
1 Tl 0.000 0.125 0.250 x4
2 Cd 0.000 0.170 0.750 x4
3 Ag 0.171 0.423 0.129 x8
4 I 0.113 0.440 0.396 x8
5 I 0.125 0.055 0.683 x8
6 I 0.125 0.244 0.066 x8

***

10.
VASP calculation (PBE) on a relaxed TlBPt3 crystal.

## Properties
- Relative energy among the computed polymorphs: 0.021 eV per atom
- E_form: -94 meV per atom

Lattice parameters (Å, degrees): 6.3489 6.3489 4.4742 90.00 90.00 120.00
Space group P6_3/mmc (No. 194)
Asymmetric unit:
1 Tl 0.3333 0.6667 0.2500 x2
2 B 0.0000 0.0000 0.0000 x2
3 Pt 0.1738 0.3476 0.7500 x6

***

11.
VASP calculation (PBE) on a relaxed ZnReHI crystal.

## Properties
- Relative energy among the computed polymorphs: 0.354 eV per atom

Lattice parameters (Å, degrees): 2.810 3.191 8.719 87.62 80.77 65.46
Space group P1 (No. 1)
Asymmetric unit:
1 Zn 0.000 0.000 0.000 x1
2 Re 0.196 0.387 0.239 x1
3 H 0.572 0.983 0.876 x1
4 I 0.025 0.426 0.542 x1

***

12.
VASP calculation (PBE) on a relaxed Tm2HfS2N2 crystal.

## Properties
- Energy relative to the elements, uncorrected: -1.699 eV/atom

Lattice parameters (Å, degrees): 4.143 4.143 13.860 90.00 90.00 90.00
Space group I4/mmm (No. 139)
Asymmetric unit:
1 Tm 0.000 0.000 0.116 x4
2 Hf 0.000 0.000 0.500 x2
3 S 0.000 0.000 0.316 x4
4 N 0.000 0.500 0.000 x4

***

| no. | electronic total energy (eV per cell) |
| --- | --- |
| 1 | -182.4 |
| 2 | -14.4 |
| 3 | -8.1 |
| 4 | -173.4 |
| 5 | -23.7 |
| 6 | -104.7 |
| 7 | -153.7 |
| 8 | -30.6 |
| 9 | -86.9 |
| 10 | -55.3 |
| 11 | -15.3 |
| 12 | -111.4 |